Entry 1:
LaSmTm3Sc: optimized geometry, PBE.

The value obtained for the formation energy is 51 meV/atom. As for the space group: No. 63. The theoretical density is 7.5 g/cm3.

Lattice parameters (Å, degrees): 7.846 7.846 9.989 90.00 90.00 142.92
Fractional coordinates of all 12 atoms:
La 0.002 0.998 0.750
La 0.998 0.002 0.250
Sm 0.500 0.500 0.000
Sm 0.500 0.500 0.500
Tm 0.170 0.830 0.001
Tm 0.170 0.830 0.499
Tm 0.328 0.672 0.750
Tm 0.672 0.328 0.250
Tm 0.830 0.170 0.501
Tm 0.830 0.170 0.999
Sc 0.330 0.670 0.250
Sc 0.670 0.330 0.750


Entry 2:
CaNd2Hg: optimized geometry, PBE.

The value obtained for the formation energy is -139 meV/atom. As for the space group: No. 123. Its polymorph energy (0 for the lowest one) is 6.5 kJ per mole of atoms. The theoretical density is 7.1 g/cm3.

Lattice parameters (Å, degrees): 4.994 4.994 4.928 90.00 90.00 90.00
Fractional coordinates of all 4 atoms:
Ca 0.000 0.000 0.000
Nd 0.000 0.500 0.500
Nd 0.500 0.000 0.500
Hg 0.500 0.500 0.000


Entry 3:
Tb6TmPu: optimized geometry, PBE.

The value obtained for the formation energy is 370 meV/atom. As for the space group: No. 12. The theoretical density is 8.9 g/cm3.

Lattice parameters (Å, degrees): 6.931 12.163 6.959 90.00 119.40 90.00
Fractional coordinates of all 16 atoms:
Tb 0.231 0.219 0.248
Tb 0.231 0.781 0.248
Tb 0.235 0.000 0.760
Tb 0.265 0.500 0.240
Tb 0.269 0.281 0.752
Tb 0.269 0.719 0.752
Tb 0.731 0.281 0.248
Tb 0.731 0.719 0.248
Tb 0.735 0.500 0.760
Tb 0.765 0.000 0.240
Tb 0.769 0.219 0.752
Tb 0.769 0.781 0.752
Tm 0.000 0.500 0.500
Tm 0.500 0.000 0.500
Pu 0.000 0.000 0.000
Pu 0.500 0.500 0.000


Entry 4:
Ba2TlH4: optimized geometry, PBE.

The final energy comes out at -2.90 eV per atom. As for the space group: No. 139. The theoretical density is 5.8 g/cm3.

Lattice parameters (Å, degrees): 4.088 4.088 16.689 90.00 90.00 90.00
Fractional coordinates of all 14 atoms:
Ba 0.000 0.000 0.143
Ba 0.000 0.000 0.857
Ba 0.500 0.500 0.357
Ba 0.500 0.500 0.643
Tl 0.000 0.000 0.500
Tl 0.500 0.500 0.000
H 0.000 0.000 0.302
H 0.000 0.000 0.698
H 0.000 0.500 0.000
H 0.000 0.500 0.500
H 0.500 0.000 0.000
H 0.500 0.000 0.500
H 0.500 0.500 0.198
H 0.500 0.500 0.802


Entry 5:
LiWAu: optimized geometry, PBE.

The value obtained for the formation energy is 299 meV/atom. As for the space group: No. 42. Its polymorph energy (0 for the lowest one) is 14.2 kJ per mole of atoms. The theoretical density is 13.2 g/cm3.

Lattice parameters (Å, degrees): 3.072 4.476 14.206 90.00 90.00 90.00
Fractional coordinates of all 12 atoms:
Li 0.000 0.000 0.000
Li 0.000 0.500 0.500
Li 0.500 0.000 0.500
Li 0.500 0.500 0.000
W 0.000 0.000 0.670
W 0.000 0.500 0.170
W 0.500 0.000 0.170
W 0.500 0.500 0.670
Au 0.000 0.000 0.342
Au 0.000 0.500 0.842
Au 0.500 0.000 0.842
Au 0.500 0.500 0.342


Entry 6:
LiSmCdCl6: optimized geometry, PBE.

The final energy comes out at -3.80 eV per atom. As for the space group: No. 163. The theoretical density is 3.4 g/cm3.

Lattice parameters (Å, degrees): 6.757 6.757 11.972 90.00 90.00 120.00
Fractional coordinates of all 18 atoms:
Li 0.000 0.000 0.000
Li 0.000 0.000 0.500
Sm 0.333 0.667 0.250
Sm 0.667 0.333 0.750
Cd 0.333 0.667 0.750
Cd 0.667 0.333 0.250
Cl 0.005 0.338 0.625
Cl 0.005 0.667 0.875
Cl 0.333 0.338 0.875
Cl 0.333 0.995 0.625
Cl 0.338 0.005 0.125
Cl 0.338 0.333 0.375
Cl 0.662 0.667 0.625
Cl 0.662 0.995 0.875
Cl 0.667 0.005 0.375
Cl 0.667 0.662 0.125
Cl 0.995 0.333 0.125
Cl 0.995 0.662 0.375


Entry 7:
ZrAs2Cl: optimized geometry, PBE.

As for the space group: No. 166. Its polymorph energy (0 for the lowest one) is 51.8 kJ per mole of atoms. The theoretical density is 5.0 g/cm3.

Lattice parameters (Å, degrees): 3.665 3.665 23.521 90.00 90.00 120.00
Fractional coordinates of all 12 atoms:
Zr 0.000 0.000 0.000
Zr 0.333 0.667 0.667
Zr 0.667 0.333 0.333
As 0.000 0.000 0.261
As 0.000 0.000 0.739
As 0.333 0.667 0.405
As 0.333 0.667 0.928
As 0.667 0.333 0.072
As 0.667 0.333 0.595
Cl 0.000 0.000 0.500
Cl 0.333 0.667 0.167
Cl 0.667 0.333 0.833


Entry 8:
Hf8As2N: optimized geometry, PBE.

The final energy comes out at -9.38 eV per atom. As for the space group: No. 12. The theoretical density is 12.2 g/cm3.

Lattice parameters (Å, degrees): 6.043 6.043 7.335 106.45 106.45 58.92
Fractional coordinates of all 11 atoms:
Hf 0.136 0.136 0.640
Hf 0.168 0.668 0.774
Hf 0.292 0.292 0.050
Hf 0.332 0.832 0.226
Hf 0.668 0.168 0.774
Hf 0.708 0.708 0.950
Hf 0.832 0.332 0.226
Hf 0.864 0.864 0.360
As 0.329 0.329 0.432
As 0.671 0.671 0.568
N 0.500 0.500 0.000


no.,DOS at the Fermi energy (states/eV/atom)
1,1.6415
2,1.2233
3,1.5247
4,0.4652
5,0.6706
6,0.0000
7,0.7359
8,0.8281